1.
Compound: Ca2BBr2
Source: the Alexandria database
Functional: PBE-GGA
Structure: optimized geometry

a = 5.8997 Å, b = 5.8997 Å, c = 5.8997 Å
α = 123.00°, β = 123.00°, γ = 84.88°
With the nearest neighbours (Å) after each atom.
Element x y z (fractional)
Ca 0.2500 0.7500 0.5000  4 Br 2.88
Ca 0.7500 0.2500 0.5000  4 Br 2.88
B 0.0000 0.0000 0.0000  2 Br 2.76
Br 0.3175 0.3175 0.0000  1 B 2.76, 4 Ca 2.88
Br 0.6825 0.6825 0.0000  1 B 2.76, 4 Ca 2.88

Properties
final energy = -3.03 eV/atom
ΔE_f (raw) = -222 meV/atom
crystal system = tetragonal
ΔE to the lowest computed polymorph = 0.000 eV/atom


2.
Compound: Nb
Source: the Alexandria database
Functional: PBE-GGA
Structure: optimized geometry

a = 5.4427 Å, b = 5.4427 Å, c = 5.4427 Å
α = 60.00°, β = 60.00°, γ = 60.00°
With the nearest neighbours (Å) after each atom.
Element x y z (fractional)
Nb 0.0000 0.0000 0.0000  6 Nb 2.72
Nb 0.0000 0.0000 0.5000  6 Nb 2.72
Nb 0.0000 0.5000 0.0000  6 Nb 2.72
Nb 0.3750 0.3750 0.3750  16 Nb 3.19-3.33
Nb 0.5000 0.0000 0.0000  6 Nb 2.72
Nb 0.6250 0.6250 0.6250  16 Nb 3.19-3.33

Properties
final energy = -9.93 eV/atom
formation enthalpy at 0 K = 141 meV per atom
crystal system = cubic
ΔE to the lowest computed polymorph = 0.141 eV/atom


3.
Compound: BeSnTe2
Source: the Alexandria database
Functional: PBE-GGA
Structure: optimized geometry

a = 7.1199 Å, b = 7.1199 Å, c = 7.1199 Å
α = 121.88°, β = 121.88°, γ = 86.77°
With the nearest neighbours (Å) after each atom.
Element x y z (fractional)
Be 0.0000 0.0000 0.0000  4 Te 2.46
Be 0.7500 0.2500 0.5000  4 Te 2.46
Sn 0.2500 0.7500 0.5000  4 Te 3.14
Sn 0.5000 0.5000 0.0000  4 Te 3.14
Te 0.0450 0.6250 0.9200  2 Be 2.46
Te 0.3750 0.2950 0.4200  2 Be 2.46
Te 0.7050 0.1250 0.0800  2 Be 2.46
Te 0.8750 0.9550 0.5800  2 Be 2.46

Properties
final energy = -3.63 eV/atom
ΔE_f (raw) = -130 meV/atom
crystal system = tetragonal
ΔE to the lowest computed polymorph = 0.000 eV/atom


4.
Compound: Na2HgBiRh
Source: the Alexandria database
Functional: PBE-GGA
Structure: optimized geometry

a = 5.2567 Å, b = 5.2567 Å, c = 5.1249 Å
α = 90.00°, β = 90.00°, γ = 90.00°
With the nearest neighbours (Å) after each atom.
Element x y z (fractional)
Na 0.0000 0.5000 0.0000  2 Hg 2.63
Na 0.5000 0.0000 0.0000  2 Hg 2.63
Hg 0.0000 0.0000 0.0000  2 Rh 2.56, 4 Na 2.63
Bi 0.5000 0.5000 0.5000  8 Na 3.67, 4 Rh 3.72
Rh 0.0000 0.0000 0.5000  2 Hg 2.56

Properties
final energy = -2.43 eV/atom
formation enthalpy at 0 K = 407 meV per atom
crystal system = tetragonal


5.
Compound: FeAg3Au12
Source: the Alexandria database
Functional: PBE-GGA
Structure: optimized geometry

a = 4.1392 Å, b = 4.1392 Å, c = 16.5694 Å
α = 90.00°, β = 90.00°, γ = 90.00°
With the nearest neighbours (Å) after each atom.
Element x y z (fractional)
Fe 0.0000 0.0000 0.0000  12 Au 2.86-2.93
Ag 0.0000 0.0000 0.2468  12 Au 2.93-2.96
Ag 0.0000 0.0000 0.5000  12 Au 2.93-2.95
Ag 0.0000 0.0000 0.7532  12 Au 2.93-2.96
Au 0.0000 0.5000 0.1191  2 Fe 2.86, 8 Au 2.86-2.95, 2 Ag 2.96
Au 0.0000 0.5000 0.3732  8 Au 2.93-2.95, 4 Ag 2.94-2.95
Au 0.0000 0.5000 0.6268  8 Au 2.93-2.95, 4 Ag 2.94-2.95
Au 0.0000 0.5000 0.8809  2 Fe 2.86, 8 Au 2.86-2.95, 2 Ag 2.96
Au 0.5000 0.0000 0.1191  2 Fe 2.86, 8 Au 2.86-2.95, 2 Ag 2.96
Au 0.5000 0.0000 0.3732  8 Au 2.93-2.95, 4 Ag 2.94-2.95
Au 0.5000 0.0000 0.6268  8 Au 2.93-2.95, 4 Ag 2.94-2.95
Au 0.5000 0.0000 0.8809  2 Fe 2.86, 8 Au 2.86-2.95, 2 Ag 2.96
Au 0.5000 0.5000 0.0000  8 Au 2.86, 4 Fe 2.93
Au 0.5000 0.5000 0.2464  4 Ag 2.93, 8 Au 2.95
Au 0.5000 0.5000 0.5000  4 Ag 2.93, 8 Au 2.95
Au 0.5000 0.5000 0.7536  4 Ag 2.93, 8 Au 2.95

Properties
final energy = -3.50 eV/atom
formation enthalpy at 0 K = 18 meV per atom
crystal system = tetragonal


6.
Compound: CePaP2
Source: the Alexandria database
Functional: PBE-GGA
Structure: optimized geometry

a = 6.9806 Å, b = 6.9806 Å, c = 6.9806 Å
α = 33.43°, β = 33.43°, γ = 33.43°
With the nearest neighbours (Å) after each atom.
Element x y z (fractional)
Ce 0.0000 0.0000 0.0000  6 P 2.88
Pa 0.5000 0.5000 0.5000  6 P 2.81
P 0.2470 0.2470 0.2470  3 Pa 2.81, 3 Ce 2.88
P 0.7530 0.7530 0.7530  3 Pa 2.81, 3 Ce 2.88

Properties
final energy = -7.98 eV/atom
formation enthalpy at 0 K = -1418 meV per atom
crystal system = trigonal
ΔE to the lowest computed polymorph = 0.000 eV/atom